(1)
First-principles (SCAN) data for a crystal of SrZr2Br relaxed with PBEsol, as listed in the Alexandria database.

Properties
space group	Immm (71)
uncorrected energy	-25.922	eV/atom
excess energy over the best structure of this formula in the dataset	0	meV/atom

abc: 3.2440 5.0905 12.2481
angles: 90.00 90.00 90.00
Atoms (fractional coordinates):
Sr 0.0000 0.0000 0.0000
Sr 0.5000 0.5000 0.5000
Zr 0.0000 0.5000 0.2166
Zr 0.0000 0.5000 0.7834
Zr 0.5000 0.0000 0.2834
Zr 0.5000 0.0000 0.7166
Br 0.0000 0.0000 0.5000
Br 0.5000 0.5000 0.0000

(2)
First-principles (SCAN) data for a crystal of SrZrBr2 relaxed with PBEsol, as listed in the Alexandria database.

Properties
space group	Immm (71)
uncorrected energy	-23.819	eV/atom
excess energy over the best structure of this formula in the dataset	0	meV/atom

abc: 3.5032 6.4451 9.6696
angles: 90.00 90.00 90.00
Atoms (fractional coordinates):
Sr 0.0000 0.0000 0.0000
Sr 0.5000 0.5000 0.5000
Zr 0.0000 0.0000 0.5000
Zr 0.5000 0.5000 0.0000
Br 0.0000 0.5000 0.2177
Br 0.0000 0.5000 0.7823
Br 0.5000 0.0000 0.2823
Br 0.5000 0.0000 0.7177

(3)
First-principles (SCAN) data for a crystal of SrZrBr2 relaxed with PBEsol, as listed in the Alexandria database.

Properties
space group	Imm2 (44)
uncorrected energy	-23.790	eV/atom
excess energy over the best structure of this formula in the dataset	29	meV/atom

abc: 3.7938 3.8090 13.4716
angles: 90.00 90.00 90.00
Atoms (fractional coordinates):
Sr 0.0000 0.0000 0.0000
Sr 0.5000 0.5000 0.5000
Zr 0.0000 0.5000 0.2492
Zr 0.5000 0.0000 0.7492
Br 0.0000 0.0000 0.4001
Br 0.0000 0.5000 0.6746
Br 0.5000 0.0000 0.1746
Br 0.5000 0.5000 0.9001

(4)
First-principles (SCAN) data for a crystal of SrZrBr2 relaxed with PBEsol, as listed in the Alexandria database.

Properties
space group	Cmmm (65)
uncorrected energy	-23.725	eV/atom
excess energy over the best structure of this formula in the dataset	94	meV/atom

abc: 3.4434 6.5363 9.5357
angles: 90.00 90.00 90.00
Atoms (fractional coordinates):
Sr 0.0000 0.0000 0.0000
Sr 0.5000 0.5000 0.0000
Zr 0.0000 0.0000 0.5000
Zr 0.5000 0.5000 0.5000
Br 0.0000 0.5000 0.2719
Br 0.0000 0.5000 0.7281
Br 0.5000 0.0000 0.2719
Br 0.5000 0.0000 0.7281

(5)
First-principles (SCAN) data for a crystal of SrZrBr2 relaxed with PBEsol, as listed in the Alexandria database.

Properties
space group	Pmmm (47)
uncorrected energy	-23.713	eV/atom
excess energy over the best structure of this formula in the dataset	106	meV/atom

abc: 3.4838 4.7270 6.6224
angles: 90.00 90.00 90.00
Atoms (fractional coordinates):
Sr 0.0000 0.0000 0.0000
Zr 0.5000 0.0000 0.5000
Br 0.0000 0.5000 0.5000
Br 0.5000 0.5000 0.0000

(6)
First-principles (SCAN) data for a crystal of SrZr2Br relaxed with PBEsol, as listed in the Alexandria database.

Properties
space group	P4/mmm (123)
uncorrected energy	-25.695	eV/atom
excess energy over the best structure of this formula in the dataset	228	meV/atom

abc: 4.1139 4.1139 6.7395
angles: 90.00 90.00 90.00
Atoms (fractional coordinates):
Sr 0.0000 0.0000 0.0000
Zr 0.0000 0.5000 0.5000
Zr 0.5000 0.0000 0.5000
Br 0.5000 0.5000 0.0000

(7)
First-principles (SCAN) data for a crystal of Ta3Br7 relaxed with PBEsol, as listed in the Alexandria database.

Properties
space group	Cmce (64)
uncorrected energy	-34.536	eV/atom

abc: 9.6758 9.6758 11.5118
angles: 90.00 90.00 87.13
Atoms (fractional coordinates):
Ta 0.0478 0.1621 0.8913
Ta 0.1244 0.8756 0.9117
Ta 0.1621 0.0478 0.1087
Ta 0.3379 0.4522 0.6087
Ta 0.3756 0.6244 0.4117
Ta 0.4522 0.3379 0.3913
Ta 0.5478 0.6621 0.6087
Ta 0.6244 0.3756 0.5883
Ta 0.6621 0.5478 0.3913
Ta 0.8379 0.9522 0.8913
Ta 0.8756 0.1244 0.0883
Ta 0.9522 0.8379 0.1087
Br 0.0303 0.2198 0.2472
Br 0.1078 0.6410 0.0146
Br 0.1099 0.3901 0.7500
Br 0.1400 0.8600 0.2699
Br 0.1410 0.6078 0.5146
Br 0.2198 0.0303 0.7528
Br 0.2442 0.2442 0.5000
Br 0.2558 0.2558 0.0000
Br 0.2802 0.4697 0.2528
Br 0.3590 0.8922 0.0146
Br 0.3600 0.6400 0.7699
Br 0.3901 0.1099 0.2500
Br 0.3922 0.8590 0.5146
Br 0.4697 0.2802 0.7472
Br 0.5303 0.7198 0.2528
Br 0.6078 0.1410 0.4854
Br 0.6099 0.8901 0.7500
Br 0.6400 0.3600 0.2301
Br 0.6410 0.1078 0.9854
Br 0.7198 0.5303 0.7472
Br 0.7442 0.7442 0.0000
Br 0.7558 0.7558 0.5000
Br 0.7802 0.9697 0.2472
Br 0.8590 0.3922 0.4854
Br 0.8600 0.1400 0.7301
Br 0.8901 0.6099 0.2500
Br 0.8922 0.3590 0.9854
Br 0.9697 0.7802 0.7528

(8)
First-principles (SCAN) data for a crystal of TaBr3 relaxed with PBEsol, as listed in the Alexandria database.

Properties
space group	Fm-3m (225)
uncorrected energy	-30.759	eV/atom

abc: 6.8915 6.8915 6.8915
angles: 90.00 90.00 90.00
Atoms (fractional coordinates):
Ta 0.0000 0.0000 0.0000
Ta 0.0000 0.5000 0.5000
Ta 0.5000 0.0000 0.5000
Ta 0.5000 0.5000 0.0000
Br 0.0000 0.0000 0.5000
Br 0.0000 0.5000 0.0000
Br 0.2500 0.2500 0.2500
Br 0.2500 0.2500 0.7500
Br 0.2500 0.7500 0.2500
Br 0.2500 0.7500 0.7500
Br 0.5000 0.0000 0.0000
Br 0.5000 0.5000 0.5000
Br 0.7500 0.2500 0.2500
Br 0.7500 0.2500 0.7500
Br 0.7500 0.7500 0.2500
Br 0.7500 0.7500 0.7500

(9)
First-principles (SCAN) data for a crystal of TaBr5 relaxed with PBEsol, as listed in the Alexandria database.

Properties
space group	Cmmm (65)
uncorrected energy	-27.402	eV/atom

abc: 3.0696 23.1265 5.0367
angles: 90.00 90.00 90.00
Atoms (fractional coordinates):
Ta 0.0000 0.0000 0.0000
Ta 0.5000 0.5000 0.0000
Br 0.0000 0.1699 0.5000
Br 0.0000 0.4113 0.0000
Br 0.0000 0.5000 0.5000
Br 0.0000 0.5887 0.0000
Br 0.0000 0.8301 0.5000
Br 0.5000 0.0000 0.5000
Br 0.5000 0.0887 0.0000
Br 0.5000 0.3301 0.5000
Br 0.5000 0.6699 0.5000
Br 0.5000 0.9113 0.0000

(10)
First-principles (SCAN) data for a crystal of TaBr5 relaxed with PBEsol, as listed in the Alexandria database.

Properties
space group	C2/m (12)
uncorrected energy	-28.288	eV/atom

abc: 13.5740 13.5740 6.1948
angles: 90.54 90.54 87.51
Atoms (fractional coordinates):
Ta 0.1097 0.8903 0.0000
Ta 0.2235 0.4428 0.5192
Ta 0.4428 0.2235 0.5192
Ta 0.5572 0.7765 0.4808
Ta 0.7765 0.5572 0.4808
Ta 0.8903 0.1097 0.0000
Br 0.0036 0.1989 0.7703
Br 0.0521 0.0521 0.2266
Br 0.0860 0.4676 0.7614
Br 0.1339 0.3294 0.2818
Br 0.1346 0.7531 0.7530
Br 0.1989 0.0036 0.7703
Br 0.1987 0.5797 0.2755
Br 0.2469 0.8654 0.2470
Br 0.2809 0.2809 0.7416
Br 0.3294 0.1339 0.2818
Br 0.3363 0.5320 0.7575
Br 0.3849 0.3849 0.2971
Br 0.4203 0.8013 0.7245
Br 0.4676 0.0860 0.7614
Br 0.4680 0.6637 0.2425
Br 0.5320 0.3363 0.7575
Br 0.5324 0.9140 0.2386
Br 0.5797 0.1987 0.2755
Br 0.6151 0.6151 0.7029
Br 0.6637 0.4680 0.2425
Br 0.6706 0.8661 0.7182
Br 0.7191 0.7191 0.2584
Br 0.7531 0.1346 0.7530
Br 0.8013 0.4203 0.7245
Br 0.8011 0.9964 0.2297
Br 0.8654 0.2469 0.2470
Br 0.8661 0.6706 0.7182
Br 0.9140 0.5324 0.2386
Br 0.9479 0.9479 0.7734
Br 0.9964 0.8011 0.2297

(11)
First-principles (SCAN) data for a crystal of TaBr5 relaxed with PBEsol, as listed in the Alexandria database.

Properties
space group	Pnma (62)
uncorrected energy	-28.289	eV/atom

abc: 13.0606 18.7902 6.1852
angles: 90.00 90.00 90.00
Atoms (fractional coordinates):
Ta 0.1250 0.1405 0.0068
Ta 0.1250 0.3595 0.0068
Ta 0.3750 0.6405 0.5068
Ta 0.3750 0.8595 0.5068
Ta 0.6250 0.1405 0.4932
Ta 0.6250 0.3595 0.4932
Ta 0.8750 0.6405 0.9932
Ta 0.8750 0.8595 0.9932
Br 0.0272 0.6524 0.2266
Br 0.0272 0.8476 0.2266
Br 0.0411 0.0597 0.2532
Br 0.0411 0.4403 0.2532
Br 0.0472 0.2500 0.2323
Br 0.2029 0.2500 0.7814
Br 0.2090 0.0593 0.7614
Br 0.2090 0.4407 0.7614
Br 0.2225 0.6525 0.7395
Br 0.2225 0.8475 0.7395
Br 0.2775 0.1525 0.2395
Br 0.2775 0.3475 0.2395
Br 0.2910 0.5593 0.2614
Br 0.2910 0.9407 0.2614
Br 0.2971 0.7500 0.2814
Br 0.4528 0.7500 0.7323
Br 0.4589 0.5597 0.7532
Br 0.4589 0.9403 0.7532
Br 0.4728 0.1524 0.7266
Br 0.4728 0.3476 0.7266
Br 0.5272 0.6524 0.2734
Br 0.5272 0.8476 0.2734
Br 0.5411 0.0597 0.2468
Br 0.5411 0.4403 0.2468
Br 0.5472 0.2500 0.2677
Br 0.7029 0.2500 0.7186
Br 0.7090 0.0593 0.7386
Br 0.7090 0.4407 0.7386
Br 0.7225 0.6525 0.7605
Br 0.7225 0.8475 0.7605
Br 0.7775 0.1525 0.2605
Br 0.7775 0.3475 0.2605
Br 0.7910 0.5593 0.2386
Br 0.7910 0.9407 0.2386
Br 0.7971 0.7500 0.2186
Br 0.9528 0.7500 0.7677
Br 0.9589 0.5597 0.7468
Br 0.9589 0.9403 0.7468
Br 0.9728 0.1524 0.7734
Br 0.9728 0.3476 0.7734

(12)
First-principles (SCAN) data for a crystal of TaBr3 relaxed with PBEsol, as listed in the Alexandria database.

Properties
space group	P4/mmm (123)
uncorrected energy	-31.368	eV/atom

abc: 3.1376 3.1376 8.9083
angles: 90.00 90.00 90.00
Atoms (fractional coordinates):
Ta 0.0000 0.0000 0.0000
Br 0.0000 0.0000 0.5000
Br 0.5000 0.5000 0.1811
Br 0.5000 0.5000 0.8189

(13)
First-principles (SCAN) data for a crystal of TaTcBr2 relaxed with PBEsol, as listed in the Alexandria database.

Properties
space group	Fm-3m (225)
uncorrected energy	-34.038	eV/atom
excess energy over the best structure of this formula in the dataset	1300	meV/atom

abc: 6.3654 6.3654 6.3654
angles: 90.00 90.00 90.00
Atoms (fractional coordinates):
Ta 0.0000 0.0000 0.0000
Ta 0.0000 0.5000 0.5000
Ta 0.5000 0.0000 0.5000
Ta 0.5000 0.5000 0.0000
Tc 0.0000 0.0000 0.5000
Tc 0.0000 0.5000 0.0000
Tc 0.5000 0.0000 0.0000
Tc 0.5000 0.5000 0.5000
Br 0.2500 0.2500 0.2500
Br 0.2500 0.2500 0.7500
Br 0.2500 0.7500 0.2500
Br 0.2500 0.7500 0.7500
Br 0.7500 0.2500 0.2500
Br 0.7500 0.2500 0.7500
Br 0.7500 0.7500 0.2500
Br 0.7500 0.7500 0.7500

(14)
First-principles (SCAN) data for a crystal of TaTcBr2 relaxed with PBEsol, as listed in the Alexandria database.

Properties
space group	Pm (6)
uncorrected energy	-35.105	eV/atom
excess energy over the best structure of this formula in the dataset	232	meV/atom

abc: 4.0979 3.2966 7.1660
angles: 90.00 104.65 90.00
Atoms (fractional coordinates):
Ta 0.0000 0.0000 0.0000
Tc 0.4538 0.5000 0.0554
Br 0.5829 0.5000 0.7335
Br 0.8718 0.0000 0.3313

(15)
First-principles (SCAN) data for a crystal of Ta4TcBr relaxed with PBEsol, as listed in the Alexandria database.

Properties
space group	F-43m (216)
uncorrected energy	-52.601	eV/atom

abc: 5.3758 5.3758 5.3758
angles: 60.00 60.00 60.00
Atoms (fractional coordinates):
Ta 0.3757 0.3757 0.3757
Ta 0.3757 0.3757 0.8729
Ta 0.3757 0.8729 0.3757
Ta 0.8729 0.3757 0.3757
Tc 0.7500 0.7500 0.7500
Br 0.0000 0.0000 0.0000

(16)
First-principles (SCAN) data for a crystal of TaTcBr2 relaxed with PBEsol, as listed in the Alexandria database.

Properties
space group	R3m (160)
uncorrected energy	-35.338	eV/atom
excess energy over the best structure of this formula in the dataset	0	meV/atom

abc: 3.3082 3.3082 26.9666
angles: 90.00 90.00 120.00
Atoms (fractional coordinates):
Ta 0.0000 0.0000 0.0000
Ta 0.3333 0.6667 0.6667
Ta 0.6667 0.3333 0.3333
Tc 0.0000 0.0000 0.7285
Tc 0.3333 0.6667 0.3952
Tc 0.6667 0.3333 0.0618
Br 0.0000 0.0000 0.2593
Br 0.0000 0.0000 0.4704
Br 0.3333 0.6667 0.1371
Br 0.3333 0.6667 0.9259
Br 0.6667 0.3333 0.5926
Br 0.6667 0.3333 0.8037

(17)
First-principles (SCAN) data for a crystal of Ta2TeBr relaxed with PBEsol, as listed in the Alexandria database.

Properties
space group	P4/mmm (123)
uncorrected energy	-46.822	eV/atom
excess energy over the best structure of this formula in the dataset	0	meV/atom

abc: 4.6624 4.6624 3.3813
angles: 90.00 90.00 90.00
Atoms (fractional coordinates):
Ta 0.0000 0.5000 0.0000
Ta 0.5000 0.0000 0.0000
Te 0.0000 0.0000 0.5000
Br 0.5000 0.5000 0.5000

(18)
First-principles (SCAN) data for a crystal of Ta2TeBr relaxed with PBEsol, as listed in the Alexandria database.

Properties
space group	I-4m2 (119)
uncorrected energy	-46.669	eV/atom
excess energy over the best structure of this formula in the dataset	153	meV/atom

abc: 4.3719 4.3719 8.1493
angles: 90.00 90.00 90.00
Atoms (fractional coordinates):
Ta 0.0000 0.0000 0.0000
Ta 0.0000 0.5000 0.2500
Ta 0.5000 0.0000 0.7500
Ta 0.5000 0.5000 0.5000
Te 0.0000 0.0000 0.5000
Te 0.5000 0.5000 0.0000
Br 0.0000 0.5000 0.7500
Br 0.5000 0.0000 0.2500

(19)
First-principles (SCAN) data for a crystal of Ta2TiTeBr relaxed with PBEsol, as listed in the Alexandria database.

Properties
space group	P4/mmm (123)
uncorrected energy	-39.328	eV/atom

abc: 5.0128 5.0128 5.5193
angles: 90.00 90.00 90.00
Atoms (fractional coordinates):
Ta 0.0000 0.5000 0.0000
Ta 0.5000 0.0000 0.0000
Ti 0.0000 0.0000 0.5000
Te 0.5000 0.5000 0.0000
Br 0.5000 0.5000 0.5000

(20)
First-principles (SCAN) data for a crystal of Ta2TiBr relaxed with PBEsol, as listed in the Alexandria database.

Properties
space group	Fm-3m (225)
uncorrected energy	-41.243	eV/atom

abc: 6.5089 6.5089 6.5089
angles: 90.00 90.00 90.00
Atoms (fractional coordinates):
Ta 0.2500 0.2500 0.2500
Ta 0.2500 0.2500 0.7500
Ta 0.2500 0.7500 0.2500
Ta 0.2500 0.7500 0.7500
Ta 0.7500 0.2500 0.2500
Ta 0.7500 0.2500 0.7500
Ta 0.7500 0.7500 0.2500
Ta 0.7500 0.7500 0.7500
Ti 0.0000 0.0000 0.0000
Ti 0.0000 0.5000 0.5000
Ti 0.5000 0.0000 0.5000
Ti 0.5000 0.5000 0.0000
Br 0.0000 0.0000 0.5000
Br 0.0000 0.5000 0.0000
Br 0.5000 0.0000 0.0000
Br 0.5000 0.5000 0.5000